Entry 1:
DFT (PBE) results for a relaxed NdY2Ho3P6 crystal.

Computed properties:
The space-group type is C2/m. The value obtained for the energy of formation is -1.60 eV/atom. The calculation puts the total energy at -6.923 eV/atom. As for the density of states at the Fermi level: 1.7 states/eV/cell. As for the volume: 277.2 Å³/cell.

Lattice parameters (Å, degrees): 6.9751 6.9751 6.9759 99.59 99.59 119.99
Fractional positions:
Nd1 0.0000 0.0000 0.0000
Y1 0.3331 0.6669 0.0000
Y2 0.6669 0.3331 0.0000
Ho1 0.1657 0.8343 0.5000
Ho2 0.5000 0.5000 0.5000
Ho3 0.8343 0.1657 0.5000
P1 0.0850 0.4232 0.2551
P2 0.2533 0.2533 0.7455
P3 0.4232 0.0850 0.2551
P4 0.5768 0.9150 0.7449
P5 0.7467 0.7467 0.2545
P6 0.9150 0.5768 0.7449

---

Entry 2:
DFT (PBE) results for a relaxed NdHoPa4 crystal.

Computed properties:
The space-group type is F-43m. The value obtained for the energy of formation is 0.24 eV/atom. The calculation puts the total energy at -7.648 eV/atom. As for the density of states at the Fermi level: 15.8 states/eV/cell. As for the volume: 166.1 Å³/cell.

Lattice parameters (Å, degrees): 6.1702 6.1702 6.1702 60.00 60.00 60.00
Fractional positions:
Nd1 0.0000 0.0000 0.0000
Ho1 0.2500 0.2500 0.2500
Pa1 0.1256 0.6248 0.6248
Pa2 0.6248 0.1256 0.6248
Pa3 0.6248 0.6248 0.1256
Pa4 0.6248 0.6248 0.6248

---

Entry 3:
DFT (PBE) results for a relaxed NdHo2Pa crystal.

Computed properties:
The space-group type is R3m. The value obtained for the energy of formation is 0.12 eV/atom. The calculation puts the total energy at -5.735 eV/atom. As for the density of states at the Fermi level: 20.0 states/eV/cell. Its energy above the most stable polymorph in this dataset is 0.00 eV per formula unit. As for the volume: 357.4 Å³/cell.

Lattice parameters (Å, degrees): 3.4425 3.4425 34.8199 90.00 90.00 120.00
Fractional positions:
Nd1 0.0000 0.0000 0.0000
Nd2 0.3333 0.6667 0.6667
Nd3 0.6667 0.3333 0.3333
Ho1 0.0000 0.0000 0.4207
Ho2 0.0000 0.0000 0.5797
Ho3 0.3333 0.6667 0.0874
Ho4 0.3333 0.6667 0.2464
Ho5 0.6667 0.3333 0.7540
Ho6 0.6667 0.3333 0.9130
Pa1 0.0000 0.0000 0.8338
Pa2 0.3333 0.6667 0.5005
Pa3 0.6667 0.3333 0.1672

---

Entry 4:
DFT (PBE) results for a relaxed Nd2HoPa crystal.

Computed properties:
The space-group type is R-3m. The value obtained for the energy of formation is 0.31 eV/atom. The calculation puts the total energy at -5.592 eV/atom. As for the density of states at the Fermi level: 16.9 states/eV/cell. Its energy above the most stable polymorph in this dataset is 0.55 eV per formula unit. As for the volume: 369.7 Å³/cell.

Lattice parameters (Å, degrees): 3.3799 3.3799 37.3683 90.00 90.00 120.00
Fractional positions:
Nd1 0.0000 0.0000 0.0865
Nd2 0.0000 0.0000 0.9135
Nd3 0.3333 0.6667 0.5802
Nd4 0.3333 0.6667 0.7532
Nd5 0.6667 0.3333 0.2468
Nd6 0.6667 0.3333 0.4198
Ho1 0.0000 0.0000 0.5000
Ho2 0.3333 0.6667 0.1667
Ho3 0.6667 0.3333 0.8333
Pa1 0.0000 0.0000 0.0000
Pa2 0.3333 0.6667 0.6667
Pa3 0.6667 0.3333 0.3333

---

Entry 5:
DFT (PBE) results for a relaxed Nd2HoPa crystal.

Computed properties:
The space-group type is P4/mmm. The value obtained for the energy of formation is 0.17 eV/atom. The calculation puts the total energy at -5.729 eV/atom. As for the density of states at the Fermi level: 6.3 states/eV/cell. Its energy above the most stable polymorph in this dataset is 0.00 eV per formula unit. As for the volume: 124.3 Å³/cell.

Lattice parameters (Å, degrees): 3.4481 3.4481 10.4509 90.00 90.00 90.00
Fractional positions:
Nd1 0.0000 0.0000 0.2334
Nd2 0.0000 0.0000 0.7666
Ho1 0.5000 0.5000 0.5000
Pa1 0.5000 0.5000 0.0000

---

Entry 6:
DFT (PBE) results for a relaxed NdHo2Pa crystal.

Computed properties:
The space-group type is P4/mmm. The value obtained for the energy of formation is 0.13 eV/atom. The calculation puts the total energy at -5.729 eV/atom. As for the density of states at the Fermi level: 6.8 states/eV/cell. Its energy above the most stable polymorph in this dataset is 0.03 eV per formula unit. As for the volume: 120.3 Å³/cell.

Lattice parameters (Å, degrees): 3.4263 3.4263 10.2441 90.00 90.00 90.00
Fractional positions:
Nd1 0.0000 0.0000 0.0000
Ho1 0.5000 0.5000 0.2711
Ho2 0.5000 0.5000 0.7289
Pa1 0.0000 0.0000 0.5000

---

Entry 7:
DFT (PBE) results for a relaxed NdHo2Pa crystal.

Computed properties:
The space-group type is R-3m. The value obtained for the energy of formation is 0.19 eV/atom. The calculation puts the total energy at -5.660 eV/atom. As for the density of states at the Fermi level: 16.8 states/eV/cell. Its energy above the most stable polymorph in this dataset is 0.30 eV per formula unit. As for the volume: 366.7 Å³/cell.

Lattice parameters (Å, degrees): 3.4073 3.4073 36.4720 90.00 90.00 120.00
Fractional positions:
Nd1 0.0000 0.0000 0.0000
Nd2 0.3333 0.6667 0.6667
Nd3 0.6667 0.3333 0.3333
Ho1 0.0000 0.0000 0.0931
Ho2 0.0000 0.0000 0.9069
Ho3 0.3333 0.6667 0.5736
Ho4 0.3333 0.6667 0.7598
Ho5 0.6667 0.3333 0.2402
Ho6 0.6667 0.3333 0.4264
Pa1 0.0000 0.0000 0.5000
Pa2 0.3333 0.6667 0.1667
Pa3 0.6667 0.3333 0.8333

---

Entry 8:
DFT (PBE) results for a relaxed NdHo2PaSb4 crystal.

Computed properties:
The space-group type is P2/m. The calculation puts the total energy at -5.948 eV/atom. As for the density of states at the Fermi level: 6.7 states/eV/cell. As for the volume: 241.7 Å³/cell. As for the uncorrected formation energy: -7.674 eV per formula unit.

Lattice parameters (Å, degrees): 7.6076 4.4033 7.6473 90.00 109.34 90.00
Fractional positions:
Nd1 0.0000 0.0000 0.0000
Ho1 0.5000 0.0000 0.5000
Ho2 0.5000 0.5000 0.0000
Pa1 0.0000 0.5000 0.5000
Sb1 0.2543 0.0000 0.7473
Sb2 0.2563 0.5000 0.2577
Sb3 0.7437 0.5000 0.7423
Sb4 0.7457 0.0000 0.2527